A geometry-optimized ThMgAl2Cu2 structure. Source: Alexandria, functional PBE.

Properties
ΔE_f: -1.75 eV/f.u.
total energy: -4.408 eV/atom

Lattice parameters (Å, degrees): 4.3035 4.3035 7.0303 90.00 90.00 120.00
Space group P-3m1 (No. 164)
Unique sites:
Th (0.0000, 0.0000, 0.0000) [1 per cell]
Mg (0.0000, 0.0000, 0.5000) [1 per cell]
Al (0.3333, 0.6667, 0.7056) [2 per cell]
Cu (0.3333, 0.6667, 0.3012) [2 per cell]